(1)
# La3ZrHg (PBE, relaxed)
data_La3ZrHg
_chemical_formula_sum 'La3 Zr1 Hg1'
_cell_length_a 5.710
_cell_length_b 5.710
_cell_length_c 5.710
_cell_angle_alpha 90.00
_cell_angle_beta 90.00
_cell_angle_gamma 90.00
_symmetry_space_group_name_H-M 'P m -3 m'
_symmetry_Int_Tables_number 221
_symmetry_space_group_name_Hall '-P 4 2 3'
loop_
_atom_site_label
_atom_site_type_symbol
_atom_site_fract_x
_atom_site_fract_y
_atom_site_fract_z
La1 La 0.000 0.000 0.500
Zr1 Zr 0.000 0.000 0.000
Hg1 Hg 0.500 0.500 0.500
# - Excess energy over the best structure of this formula in the dataset: 0 kJ/mol of formula units
# - Calculated total energy: -21.810 eV per cell
# - Formation energy: 0.364 eV per atom
# - Calculated density: 6319 kg/m3

(2)
# LaZrHg2 (PBE, relaxed)
data_LaZrHg2
_chemical_formula_sum 'La1 Zr1 Hg2'
_cell_length_a 3.512
_cell_length_b 3.512
_cell_length_c 8.513
_cell_angle_alpha 90.00
_cell_angle_beta 90.00
_cell_angle_gamma 90.00
_symmetry_space_group_name_H-M 'P 4 m m'
_symmetry_Int_Tables_number 99
loop_
_symmetry_equiv_pos_as_xyz
'x,y,z'
'-y,x,z'
'-x,-y,z'
'y,-x,z'
'-x,y,z'
'y,x,z'
'x,-y,z'
'-y,-x,z'
loop_
_atom_site_label
_atom_site_type_symbol
_atom_site_fract_x
_atom_site_fract_y
_atom_site_fract_z
La1 La 0.000 0.000 0.000
Zr1 Zr 0.500 0.500 0.286
Hg1 Hg 0.000 0.000 0.492
Hg2 Hg 0.500 0.500 0.726
# - Excess energy over the best structure of this formula in the dataset: 63 kJ/mol of formula units
# - Calculated total energy: -14.500 eV per cell
# - Formation energy: -0.105 eV per atom
# - Calculated density: 9982 kg/m3

(3)
# LaZr3Hg (PBE, relaxed)
data_LaZr3Hg
_chemical_formula_sum 'La1 Zr3 Hg1'
_cell_length_a 5.380
_cell_length_b 5.380
_cell_length_c 5.380
_cell_angle_alpha 90.00
_cell_angle_beta 90.00
_cell_angle_gamma 90.00
_symmetry_space_group_name_H-M 'P m -3 m'
_symmetry_Int_Tables_number 221
_symmetry_space_group_name_Hall '-P 4 2 3'
loop_
_atom_site_label
_atom_site_type_symbol
_atom_site_fract_x
_atom_site_fract_y
_atom_site_fract_z
La1 La 0.000 0.000 0.000
Zr1 Zr 0.000 0.500 0.500
Hg1 Hg 0.500 0.500 0.500
# - Excess energy over the best structure of this formula in the dataset: 0 kJ/mol of formula units
# - Calculated total energy: -27.140 eV per cell
# - Formation energy: 0.747 eV per atom
# - Calculated density: 6539 kg/m3

(4)
# LaZrHg2 (PBE, relaxed)
data_LaZrHg2
_chemical_formula_sum 'La2 Zr2 Hg4'
_cell_length_a 4.493
_cell_length_b 4.493
_cell_length_c 10.087
_cell_angle_alpha 90.00
_cell_angle_beta 90.00
_cell_angle_gamma 90.00
_symmetry_space_group_name_H-M 'I -4 m 2'
_symmetry_Int_Tables_number 119
_symmetry_space_group_name_Hall 'I -4 -2'
loop_
_atom_site_label
_atom_site_type_symbol
_atom_site_fract_x
_atom_site_fract_y
_atom_site_fract_z
La1 La 0.000 0.000 0.000
Zr1 Zr 0.000 0.500 0.750
Hg1 Hg 0.000 0.000 0.500
Hg2 Hg 0.000 0.500 0.250
# - Excess energy over the best structure of this formula in the dataset: 65 kJ/mol of formula units
# - Calculated total energy: -28.953 eV per cell
# - Formation energy: -0.099 eV per atom
# - Calculated density: 10296 kg/m3